Computed, not measured: a relaxed Rb3Li2VF9 crystal at the PBE+U level of DFT.

The structure belongs to space group P-3m1 (No. 164); the cell edges are 6.0194, 6.0194 and 7.6216 Å and the angles 90.00°, 90.00° and 120.00°. The distinct sites, in fractional coordinates, are Rb at (0.0000, 0.0000, 0.0000), Rb at (0.3333, 0.6667, 0.6877), Li at (0.3333, 0.6667, 0.0905), V at (0.0000, 0.0000, 0.5000), F at (0.0000, 0.5000, 0.0000) and F at (0.1493, 0.2986, 0.3604).

The volume is 15.94 A^3/atom. The calculation puts the total energy at -4.916 eV per atom. Its density of states at the Fermi level is 0.0 states/eV/f.u. As for the density: 3.4 g/cm3.